Li6In12Ir: optimized geometry, PBE.

abc: 7.4512 7.4512 7.4512
angles: 92.08 92.08 92.08
Sites, in units of the cell vectors:
1 Li 0.2143 0.3917 0.7536
2 Li 0.2464 0.7857 0.6083
3 Li 0.3917 0.7536 0.2143
4 Li 0.6083 0.2464 0.7857
5 Li 0.7536 0.2143 0.3917
6 Li 0.7857 0.6083 0.2464
7 In 0.0522 0.9457 0.2964
8 In 0.0543 0.7036 0.9478
9 In 0.1469 0.4948 0.3682
10 In 0.2964 0.0522 0.9457
11 In 0.3682 0.1469 0.4948
12 In 0.4948 0.3681 0.1469
13 In 0.5052 0.6318 0.8531
14 In 0.6318 0.8531 0.5052
15 In 0.7036 0.9478 0.0543
16 In 0.8531 0.5052 0.6318
17 In 0.9457 0.2964 0.0522
18 In 0.9478 0.0543 0.7036
19 Ir 0.5000 0.5000 0.5000

Summary:
VASP energy, eV per atom: -2.985
Crystal system: trigonal